Entry from Alexandria via LeMat-Bulk: a geometry-optimized Pt2O structure (PBE-GGA).

Summary:
The calculation puts the magnetization at 0.000 μB per formula unit. The calculation puts the total energy at -5.5086 eV per atom. As for the space group: Pn-3m, No. 224.

Lattice parameters (Å, degrees): 4.543 4.543 4.543 90.00 90.00 90.00
Atoms (fractional coordinates):
Pt 0.750 0.750 0.250
Pt 0.750 0.250 0.750
O 0.500 0.500 0.500
Pt 0.250 0.250 0.250
O 0.000 0.000 0.000
Pt 0.250 0.750 0.750